# 1
KNa2MgCd | PBE | optimized geometry

```
KNa2MgCd
1.0
-2.468 -1.537 5.256
2.132 -5.580 -0.631
4.610 1.468 2.594
Mg K Na Cd
1 1 2 1
direct
0.000 0.000 0.500
0.500 0.500 0.500
0.500 0.000 0.000
0.000 0.500 0.000
0.000 0.000 0.000
```

## Properties
E above lowest polymorph   0.000 eV per atom
DFT total energy   -5.87 eV per cell

---

# 2
KNaMg2Cd | PBE | optimized geometry

```
KNaMg2Cd
1.0
5.455 0.000 0.000
0.000 5.455 0.000
0.000 0.000 5.963
Na Cd Mg K
1 1 2 1
direct
0.000 0.000 0.500
0.000 0.000 0.000
0.500 0.000 0.000
0.000 0.500 0.000
0.500 0.500 0.500
```

## Properties
DFT total energy   -5.94 eV per cell

---

# 3
KMg2CdNi | PBE | optimized geometry

```
KMg2CdNi
1.0
5.012 0.000 0.000
0.000 5.012 0.000
0.000 0.000 5.163
Ni Mg K Cd
1 2 1 1
direct
0.000 0.000 0.000
0.500 0.000 0.000
0.000 0.500 0.000
0.500 0.500 0.500
0.000 0.000 0.500
```

## Properties
DFT total energy   -10.93 eV per cell

---

# 4
KMgCdNi2 | PBE | optimized geometry

```
KMgCdNi2
1.0
-0.430 -4.623 -0.554
2.578 -0.786 4.555
-4.061 0.100 2.315
K Mg Cd Ni
1 1 1 2
direct
0.000 0.000 0.000
0.000 0.500 0.000
0.500 0.500 0.500
0.000 0.000 0.500
0.500 0.000 0.000
```

## Properties
DFT total energy   -7.33 eV per cell

---

# 5
K2MgCd3Pb4 | PBE | optimized geometry

```
K2MgCd3Pb4
1.0
4.903 0.000 0.000
0.000 4.903 0.000
0.000 0.000 13.379
Cd Pb Mg K
3 4 1 2
direct
0.000 0.000 0.500
0.000 0.500 0.147
0.500 0.000 0.853
0.000 0.500 0.367
0.500 0.000 0.633
0.500 0.500 0.000
0.000 0.000 0.000
0.500 0.500 0.500
0.500 0.000 0.254
0.000 0.500 0.746
```

## Properties
DFT total energy   -22.45 eV per cell

---

# 6
KMgCd2Pb4 | PBE | optimized geometry

```
KMgCd2Pb4
1.0
5.300 0.000 0.000
2.650 4.590 0.000
2.650 1.530 10.190
Pb K Mg Cd
4 1 1 2
direct
0.132 0.132 0.604
0.868 0.868 0.396
0.599 0.599 0.203
0.401 0.401 0.797
0.000 0.000 0.000
0.500 0.500 0.500
0.248 0.248 0.255
0.752 0.752 0.745
```

## Properties
DFT total energy   -19.61 eV per cell

---

# 7
KMg2CdPb4 | PBE | optimized geometry

```
KMg2CdPb4
1.0
-4.415 -1.496 2.601
0.390 -2.526 4.687
-1.520 7.442 7.178
Pb Mg K Cd
4 2 1 1
direct
0.399 0.399 0.802
0.871 0.871 0.387
0.129 0.129 0.613
0.601 0.601 0.198
0.759 0.759 0.724
0.241 0.241 0.276
0.000 0.000 0.000
0.500 0.500 0.500
```

## Properties
DFT total energy   -20.32 eV per cell

---

# 8
KMgCd2Pd | PBE | optimized geometry

```
KMgCd2Pd
1.0
-4.559 2.753 0.338
-1.520 -3.023 4.126
2.208 3.262 3.204
Mg K Pd Cd
1 1 1 2
direct
0.000 0.000 0.500
0.500 0.500 0.500
0.000 0.000 0.000
0.000 0.500 0.000
0.500 0.000 0.000
```

## Properties
DFT total energy   -10.76 eV per cell

---

# 9
KMgCd2Pt | PBE | optimized geometry

```
KMgCd2Pt
1.0
5.340 0.000 0.000
0.000 5.340 0.000
0.000 0.000 5.082
Pt Mg Cd K
1 1 2 1
direct
0.000 0.000 0.000
0.000 0.000 0.500
0.500 0.000 0.000
0.000 0.500 0.000
0.500 0.500 0.500
```

## Properties
DFT total energy   -12.07 eV per cell

---

# 10
K2RbMgCd | PBE | optimized geometry

```
K2RbMgCd
1.0
-1.043 -5.145 4.738
5.894 1.932 3.396
-2.958 3.496 3.145
K Mg Cd Rb
2 1 1 1
direct
0.500 0.000 0.000
0.000 0.500 0.000
0.000 0.000 0.000
0.000 0.000 0.500
0.500 0.500 0.500
```

## Properties
E above lowest polymorph   0.047 eV per atom
DFT total energy   -4.96 eV per cell

---

# 11
K2RbMgCd | PBE | optimized geometry

```
K2RbMgCd
1.0
-0.841 -5.480 -4.170
-1.482 -3.958 5.501
-5.418 1.255 -0.557
K Mg Rb Cd
2 1 1 1
direct
0.000 0.500 0.000
0.500 0.000 0.000
0.000 0.000 0.500
0.500 0.500 0.500
0.000 0.000 0.000
```

## Properties
E above lowest polymorph   0.000 eV per atom
DFT total energy   -5.20 eV per cell

---

# 12
KMg2CdRu | PBE | optimized geometry

```
KMg2CdRu
1.0
-2.285 -4.811 0.025
2.390 -1.111 4.578
-4.164 1.991 2.657
Mg Ru K Cd
2 1 1 1
direct
0.000 0.000 0.500
0.500 0.000 0.000
0.000 0.500 0.000
0.500 0.500 0.500
0.000 0.000 0.000
```

## Properties
DFT total energy   -10.39 eV per cell

---

# 13
KMgCd2S | PBE | optimized geometry

```
KMgCd2S
1.0
-4.152 3.498 -2.991
1.719 -2.147 -4.898
-4.193 -4.535 0.517
Cd Mg K S
2 1 1 1
direct
0.500 0.000 0.000
0.000 0.000 0.500
0.500 0.500 0.500
0.000 0.000 0.000
0.000 0.500 0.000
```

## Properties
Uncorrected formation energy   0.53 eV/atom
DFT total energy   -5.99 eV per cell

---

# 14
KMg2CdSe | PBE | optimized geometry

```
KMg2CdSe
1.0
-1.665 4.756 -1.421
1.253 -1.310 -5.855
-4.847 -1.881 -0.616
Cd K Se Mg
1 1 1 2
direct
0.500 0.500 0.500
0.000 0.500 0.000
0.000 0.000 0.000
0.000 0.000 0.500
0.500 0.000 0.000
```

## Properties
Uncorrected formation energy   -0.14 eV/atom
DFT total energy   -9.37 eV per cell

---

# 15
KMgCdSi2 | PBE | optimized geometry

```
KMgCdSi2
1.0
-1.005 -3.186 3.758
2.521 -4.581 -3.208
4.473 1.019 2.060
Si K Cd Mg
2 1 1 1
direct
0.000 0.000 0.500
0.500 0.000 0.000
0.000 0.500 0.000
0.500 0.500 0.500
0.000 0.000 0.000
```

## Properties
Uncorrected formation energy   0.75 eV/atom
DFT total energy   -10.71 eV per cell

---

# 16
KMgCd2Si | PBE | optimized geometry

```
KMgCd2Si
1.0
-0.845 1.671 5.289
-1.360 -4.712 1.272
5.338 -1.207 1.234
Cd Mg Si K
2 1 1 1
direct
0.000 0.000 0.500
0.500 0.000 0.000
0.000 0.000 0.000
0.000 0.500 0.000
0.500 0.500 0.500
```

## Properties
Uncorrected formation energy   0.32 eV/atom
DFT total energy   -8.32 eV per cell

---

# 17
KMg2Cd2Sn2 | PBE | optimized geometry

```
KMg2Cd2Sn2
1.0
4.973 0.000 0.000
2.487 4.307 0.000
2.487 1.436 9.420
Sn Cd Mg K
2 2 2 1
direct
0.752 0.752 0.744
0.248 0.248 0.256
0.557 0.557 0.329
0.443 0.443 0.671
0.860 0.860 0.421
0.140 0.140 0.579
0.000 0.000 0.000
```

## Properties
DFT total energy   -15.23 eV per cell

---

# 18
K2Mg3CdSn4 | PBE | optimized geometry

```
K2Mg3CdSn4
1.0
-2.473 3.862 1.326
-1.631 -2.356 3.819
10.147 4.134 6.883
Mg Sn Cd K
3 4 1 2
direct
0.500 0.000 0.858
0.000 0.000 0.500
0.000 0.500 0.142
0.000 0.000 0.000
0.000 0.500 0.363
0.500 0.000 0.637
0.500 0.500 0.000
0.500 0.500 0.500
0.500 0.000 0.254
0.000 0.500 0.746
```

## Properties
DFT total energy   -25.74 eV per cell

---

# 19
K2MgCd4Sn3 | PBE | optimized geometry

```
K2MgCd4Sn3
1.0
4.782 0.000 0.000
0.000 4.782 0.000
0.000 0.000 12.854
K Cd Sn Mg
2 4 3 1
direct
0.000 0.500 0.755
0.500 0.000 0.245
0.500 0.500 0.000
0.500 0.000 0.640
0.000 0.500 0.360
0.000 0.000 0.000
0.000 0.500 0.137
0.000 0.000 0.500
0.500 0.000 0.863
0.500 0.500 0.500
```

## Properties
DFT total energy   -20.80 eV per cell

---

# 20
KMgCdSn | PBE | optimized geometry

```
KMgCdSn
1.0
-0.396 -0.056 -5.380
2.803 -3.603 -2.874
-2.558 -4.054 -2.474
Sn Mg Cd K
1 1 1 1
direct
0.750 0.750 0.750
0.000 0.000 0.000
0.250 0.250 0.250
0.500 0.500 0.500
```

## Properties
DFT total energy   -7.59 eV per cell

---

# 21
KSr2MgCd | PBE | optimized geometry

```
KSr2MgCd
1.0
-4.254 -2.923 3.919
-1.344 -4.296 -4.663
4.023 -3.315 1.895
K Mg Cd Sr
1 1 1 2
direct
0.500 0.500 0.500
0.000 0.000 0.500
0.000 0.000 0.000
0.000 0.500 0.000
0.500 0.000 0.000
```

## Properties
DFT total energy   -6.71 eV per cell

---

# 22
KMgCd2Tc | PBE | optimized geometry

```
KMgCd2Tc
1.0
-3.719 3.309 -2.105
-3.706 -2.978 1.867
-0.017 2.887 4.569
Cd K Tc Mg
2 1 1 1
direct
0.500 0.000 0.000
0.000 0.000 0.500
0.500 0.500 0.500
0.000 0.500 0.000
0.000 0.000 0.000
```

## Properties
DFT total energy   -10.55 eV per cell

---

# 23
K2MgTl6Cd | PBE | optimized geometry

```
K2MgTl6Cd
1.0
-6.385 -4.251 -1.613
0.031 -7.741 1.232
-6.535 -2.049 12.225
Tl Cd K Mg
12 2 4 2
direct
0.200 0.759 0.842
0.800 0.241 0.158
0.651 0.070 0.629
0.930 0.349 0.371
0.241 0.800 0.158
0.349 0.930 0.371
0.070 0.651 0.629
0.349 0.349 0.371
0.759 0.200 0.842
0.651 0.651 0.629
0.800 0.800 0.158
0.200 0.200 0.842
0.421 0.421 0.737
0.579 0.579 0.263
0.868 0.868 0.396
0.304 0.304 0.088
0.696 0.696 0.912
0.132 0.132 0.604
0.500 0.500 0.500
0.000 0.000 0.000
```

## Properties
DFT total energy   -37.31 eV per cell

---

# 24
KMg2Tl4Cd | PBE | optimized geometry

```
KMg2Tl4Cd
1.0
-2.188 -0.317 4.640
-2.178 -4.401 1.519
7.792 -4.719 6.198
Tl K Mg Cd
4 1 2 1
direct
0.399 0.399 0.802
0.601 0.601 0.198
0.875 0.875 0.376
0.125 0.125 0.624
0.000 0.000 0.000
0.769 0.769 0.694
0.231 0.231 0.306
0.500 0.500 0.500
```

## Properties
DFT total energy   -14.92 eV per cell

---

# 25
K2MgTl2Cd | PBE | optimized geometry

```
K2MgTl2Cd
1.0
6.934 0.000 0.000
0.000 7.015 0.000
-3.467 -3.508 8.630
Mg K Tl Cd
2 4 4 2
direct
0.500 0.250 0.000
0.500 0.750 0.000
0.066 0.327 0.654
0.934 0.673 0.346
0.412 0.173 0.346
0.588 0.827 0.654
0.636 0.394 0.789
0.847 0.106 0.211
0.153 0.894 0.789
0.364 0.606 0.211
0.000 0.250 0.000
0.000 0.750 0.000
```

## Properties
DFT total energy   -19.58 eV per cell

---

# 26
KMgTl4Cd2 | PBE | optimized geometry

```
KMgTl4Cd2
1.0
5.167 0.000 0.000
2.584 4.475 0.000
2.584 1.492 10.558
K Tl Cd Mg
1 4 2 1
direct
0.000 0.000 0.000
0.602 0.602 0.195
0.398 0.398 0.805
0.871 0.871 0.387
0.129 0.129 0.613
0.761 0.761 0.718
0.239 0.239 0.282
0.500 0.500 0.500
```

## Properties
DFT total energy   -14.29 eV per cell